(1)
Material: CdAu9
Method: DFT, GGA-PBE
State: optimized geometry

Output
* ΔE_f: 0.012 eV/atom
* DFT total energy: -60.3 eV for the cell shown
* SG: No. 59
* volume: 26.72 Å³/atom

Unit cell a=2.934 b=4.133 c=44.071 alpha=90.00 beta=90.00 gamma=90.00
Fractional positions:
Au: 0.000 0.000 0.017
Au: 0.500 0.500 0.050
Au: 0.000 0.000 0.084
Au: 0.500 0.500 0.118
Au: 0.000 0.000 0.152
Au: 0.500 0.500 0.185
Au: 0.000 0.000 0.219
Au: 0.500 0.500 0.252
Au: 0.000 0.000 0.289
Au: 0.500 0.500 0.711
Au: 0.000 0.000 0.748
Au: 0.500 0.500 0.781
Au: 0.000 0.000 0.815
Au: 0.500 0.500 0.848
Au: 0.000 0.000 0.882
Au: 0.500 0.500 0.916
Au: 0.000 0.000 0.950
Au: 0.500 0.500 0.983
Cd: 0.500 0.500 0.321
Cd: 0.000 0.000 0.679

(2)
Material: MoIrOs2
Method: DFT, GGA-PBE
State: optimized geometry

Output
* E above lowest polymorph: 14 meV/atom
* ΔE_f: -0.184 eV/atom
* DFT total energy: -85.8 eV for the cell shown
* magnetization: 0.0 Bohr magnetons per cell
* SG: No. 40
* volume: 14.61 Å³/atom

Unit cell a=4.395 b=5.542 c=5.542 alpha=120.02 beta=90.00 gamma=90.00
Fractional positions:
Ir: 0.250 0.331 0.165
Ir: 0.750 0.165 0.331
Mo: 0.750 0.667 0.332
Mo: 0.250 0.332 0.667
Os: 0.250 0.835 0.168
Os: 0.250 0.837 0.666
Os: 0.750 0.168 0.835
Os: 0.750 0.666 0.837

(3)
Material: Sm3Al3SiPd2
Method: DFT, GGA-PBE
State: optimized geometry

Output
* E above lowest polymorph: 371 meV/atom
* DFT total energy: -44.1 eV for the cell shown
* magnetization: 0.0 Bohr magnetons per cell
* SG: No. 189
* volume: 22.46 Å³/atom

Unit cell a=7.686 b=7.686 c=3.951 alpha=90.00 beta=90.00 gamma=120.00
Fractional positions:
Al: 0.600 0.000 0.000
Al: 0.400 0.400 0.000
Al: 0.000 0.600 0.000
Pd: 0.667 0.333 0.500
Pd: 0.333 0.667 0.500
Si: 0.000 0.000 0.000
Sm: 0.275 0.000 0.500
Sm: 0.000 0.275 0.500
Sm: 0.725 0.725 0.500

(4)
Material: Ba2In4NiPd
Method: DFT, GGA-PBE
State: optimized geometry

Output
* DFT total energy: -29.1 eV for the cell shown
* magnetization: 0.0 Bohr magnetons per cell
* SG: No. 38
* volume: 27.27 Å³/atom

Unit cell a=8.061 b=6.366 c=6.366 alpha=41.91 beta=90.00 gamma=90.00
Fractional positions:
Ba: 0.500 0.049 0.049
Ba: 0.000 0.953 0.953
In: 0.298 0.331 0.331
In: 0.702 0.331 0.331
In: 0.186 0.667 0.667
In: 0.814 0.667 0.667
Ni: 0.000 0.224 0.224
Pd: 0.500 0.776 0.776

(5)
Material: PrNd2Te3
Method: DFT, GGA-PBE
State: optimized geometry

Output
* DFT total energy: -32.3 eV for the cell shown
* magnetization: 0.0 Bohr magnetons per cell
* SG: No. 164
* volume: 32.33 Å³/atom

Unit cell a=4.501 b=4.501 c=11.054 alpha=90.00 beta=90.00 gamma=120.00
Fractional positions:
Nd: 0.333 0.667 0.167
Nd: 0.667 0.333 0.833
Pr: 0.000 0.000 0.500
Te: 0.000 0.000 0.000
Te: 0.667 0.333 0.331
Te: 0.333 0.667 0.669

(6)
Material: Hf4NiGeC2
Method: DFT, GGA-PBE
State: optimized geometry

Output
* DFT total energy: -74.0 eV for the cell shown
* magnetization: 0.0 Bohr magnetons per cell
* SG: No. 187
* volume: 15.44 Å³/atom

Unit cell a=3.279 b=3.279 c=13.268 alpha=90.00 beta=90.00 gamma=120.00
Fractional positions:
C: 0.333 0.667 0.255
C: 0.333 0.667 0.745
Ge: 0.000 0.000 0.000
Hf: 0.667 0.333 0.162
Hf: 0.000 0.000 0.357
Hf: 0.000 0.000 0.643
Hf: 0.667 0.333 0.838
Ni: 0.667 0.333 0.500